No. 1
Crystalline LaDyGa2 at its relaxed geometry, computed with PBE.

Output
Total energy ... -4.49 eV per atom
Space group ... Amm2, No. 38
Offset from the most stable computed form ... 1.4 kJ/mol of atoms
Total moment ... 0.00 μB/atom

Lattice parameters (Å, degrees): 4.161 4.441 11.253 90.00 90.00 90.00
Atoms (fractional coordinates):
La1 0.000 0.000 0.000
La2 0.000 0.500 0.500
Dy1 0.500 0.000 0.278
Dy2 0.500 0.500 0.778
Ga1 0.000 0.000 0.719
Ga2 0.000 0.500 0.219
Ga3 0.500 0.000 0.576
Ga4 0.500 0.500 0.076


No. 2
Crystalline DyErNb2Si2 at its relaxed geometry, computed with PBE.

Output
Total energy ... -7.33 eV per atom
Space group ... P4mm, No. 99
Total moment ... 0.17 μB/atom

Lattice parameters (Å, degrees): 3.997 3.997 7.734 90.00 90.00 90.00
Atoms (fractional coordinates):
Dy1 0.000 0.000 0.000
Er1 0.500 0.500 0.293
Nb1 0.000 0.500 0.645
Nb2 0.500 0.000 0.645
Si1 0.000 0.000 0.403
Si2 0.500 0.500 0.886


No. 3
Crystalline TmZnSnSe3 at its relaxed geometry, computed with PBE.

Output
Total energy ... -4.24 eV per atom
Space group ... Cmcm, No. 63
Total moment ... 0.00 μB/atom

Lattice parameters (Å, degrees): 7.157 7.157 10.542 90.00 90.00 146.88
Atoms (fractional coordinates):
Tm1 0.000 0.000 0.000
Tm2 0.000 0.000 0.500
Zn1 0.470 0.530 0.750
Zn2 0.530 0.470 0.250
Sn1 0.216 0.784 0.250
Sn2 0.784 0.216 0.750
Se1 0.084 0.916 0.750
Se2 0.361 0.639 0.554
Se3 0.361 0.639 0.946
Se4 0.639 0.361 0.054
Se5 0.639 0.361 0.446
Se6 0.916 0.084 0.250


No. 4
Crystalline BeAgSb2 at its relaxed geometry, computed with PBE.

Output
Total energy ... -3.07 eV per atom
Space group ... F-43m, No. 216

Lattice parameters (Å, degrees): 7.013 7.013 7.013 90.00 90.00 90.00
Atoms (fractional coordinates):
Be1 0.000 0.000 0.000
Be2 0.000 0.500 0.500
Be3 0.500 0.000 0.500
Be4 0.500 0.500 0.000
Ag1 0.250 0.250 0.250
Ag2 0.250 0.750 0.750
Ag3 0.750 0.250 0.750
Ag4 0.750 0.750 0.250
Sb1 0.000 0.000 0.500
Sb2 0.000 0.500 0.000
Sb3 0.250 0.250 0.750
Sb4 0.250 0.750 0.250
Sb5 0.500 0.000 0.000
Sb6 0.500 0.500 0.500
Sb7 0.750 0.250 0.250
Sb8 0.750 0.750 0.750


No. 5
Crystalline LiBiPd at its relaxed geometry, computed with PBE.

Output
Total energy ... -4.12 eV per atom
Space group ... F-43m, No. 216
Offset from the most stable computed form ... 0.0 kJ/mol of atoms

Lattice parameters (Å, degrees): 6.359 6.359 6.359 90.00 90.00 90.00
Atoms (fractional coordinates):
Li1 0.000 0.000 0.000
Li2 0.000 0.500 0.500
Li3 0.500 0.000 0.500
Li4 0.500 0.500 0.000
Bi1 0.000 0.000 0.500
Bi2 0.000 0.500 0.000
Bi3 0.500 0.000 0.000
Bi4 0.500 0.500 0.500
Pd1 0.250 0.250 0.750
Pd2 0.250 0.750 0.250
Pd3 0.750 0.250 0.250
Pd4 0.750 0.750 0.750


No. 6
Crystalline NaScCdS3 at its relaxed geometry, computed with PBE.

Output
Total energy ... -4.70 eV per atom
Space group ... Pnma, No. 62
Offset from the most stable computed form ... 3.5 kJ/mol of atoms
Total moment ... 0.00 μB/atom

Lattice parameters (Å, degrees): 12.025 3.830 11.430 90.00 90.00 90.00
Atoms (fractional coordinates):
Na1 0.122 0.250 0.004
Na2 0.378 0.750 0.504
Na3 0.622 0.250 0.496
Na4 0.878 0.750 0.996
Sc1 0.053 0.250 0.660
Sc2 0.447 0.750 0.160
Sc3 0.553 0.250 0.840
Sc4 0.947 0.750 0.340
Cd1 0.230 0.250 0.284
Cd2 0.270 0.750 0.784
Cd3 0.730 0.250 0.216
Cd4 0.770 0.750 0.716
S1 0.062 0.750 0.828
S2 0.071 0.250 0.421
S3 0.239 0.750 0.135
S4 0.261 0.250 0.635
S5 0.429 0.750 0.921
S6 0.438 0.250 0.328
S7 0.562 0.750 0.672
S8 0.571 0.250 0.079
S9 0.739 0.750 0.365
S10 0.761 0.250 0.865
S11 0.929 0.750 0.579
S12 0.938 0.250 0.172


No. 7
Crystalline MgFeTcB at its relaxed geometry, computed with PBE.

Output
Total energy ... -6.15 eV per atom
Space group ... F-43m, No. 216
Offset from the most stable computed form ... 0.0 kJ/mol of atoms
Total moment ... 0.68 μB/atom

Lattice parameters (Å, degrees): 5.740 5.740 5.740 90.00 90.00 90.00
Atoms (fractional coordinates):
Mg1 0.000 0.000 0.000
Mg2 0.000 0.500 0.500
Mg3 0.500 0.000 0.500
Mg4 0.500 0.500 0.000
Fe1 0.250 0.250 0.750
Fe2 0.250 0.750 0.250
Fe3 0.750 0.250 0.250
Fe4 0.750 0.750 0.750
Tc1 0.250 0.250 0.250
Tc2 0.250 0.750 0.750
Tc3 0.750 0.250 0.750
Tc4 0.750 0.750 0.250
B1 0.000 0.000 0.500
B2 0.000 0.500 0.000
B3 0.500 0.000 0.000
B4 0.500 0.500 0.500


No. 8
Crystalline ErTmGa2Pt4 at its relaxed geometry, computed with PBE.

Output
Total energy ... -6.00 eV per atom
Space group ... P-6m2, No. 187
Total moment ... 0.00 μB/atom

Lattice parameters (Å, degrees): 4.368 4.368 9.031 90.00 90.00 120.00
Atoms (fractional coordinates):
Er1 0.000 0.000 0.000
Tm1 0.667 0.333 0.500
Ga1 0.333 0.667 0.250
Ga2 0.333 0.667 0.750
Pt1 0.000 0.000 0.338
Pt2 0.000 0.000 0.662
Pt3 0.667 0.333 0.163
Pt4 0.667 0.333 0.837


No. 9
Crystalline TbNd2Al7Ag2 at its relaxed geometry, computed with PBE.

Output
Total energy ... -4.28 eV per atom
Space group ... R-3m, No. 166
Total moment ... 0.00 μB/atom

Lattice parameters (Å, degrees): 9.460 9.460 9.460 34.61 34.61 34.61
Atoms (fractional coordinates):
Tb1 0.000 0.000 0.000
Nd1 0.142 0.142 0.142
Nd2 0.858 0.858 0.858
Al1 0.075 0.586 0.586
Al2 0.414 0.414 0.925
Al3 0.414 0.925 0.414
Al4 0.500 0.500 0.500
Al5 0.586 0.075 0.586
Al6 0.586 0.586 0.075
Al7 0.925 0.414 0.414
Ag1 0.336 0.336 0.336
Ag2 0.664 0.664 0.664


No. 10
Crystalline RbScAlAu at its relaxed geometry, computed with PBE.

Output
Total energy ... -3.27 eV per atom
Space group ... F-43m, No. 216
Offset from the most stable computed form ... 9.8 kJ/mol of atoms
Total moment ... 0.00 μB/atom

Lattice parameters (Å, degrees): 7.189 7.189 7.189 90.00 90.00 90.00
Atoms (fractional coordinates):
Rb1 0.000 0.000 0.000
Rb2 0.000 0.500 0.500
Rb3 0.500 0.000 0.500
Rb4 0.500 0.500 0.000
Sc1 0.250 0.250 0.250
Sc2 0.250 0.750 0.750
Sc3 0.750 0.250 0.750
Sc4 0.750 0.750 0.250
Al1 0.000 0.000 0.500
Al2 0.000 0.500 0.000
Al3 0.500 0.000 0.000
Al4 0.500 0.500 0.500
Au1 0.250 0.250 0.750
Au2 0.250 0.750 0.250
Au3 0.750 0.250 0.250
Au4 0.750 0.750 0.750


No. 11
Crystalline Ho2ErMg3CdIn2 at its relaxed geometry, computed with PBE.

Output
Total energy ... -3.10 eV per atom
Space group ... Amm2, No. 38
Total moment ... 0.00 μB/atom

Lattice parameters (Å, degrees): 4.581 7.527 7.527 119.97 90.00 90.00
Atoms (fractional coordinates):
Ho1 0.000 0.213 0.787
Ho2 0.000 0.787 0.213
Er1 0.000 0.360 0.360
Mg1 0.500 0.028 0.028
Mg2 0.500 0.545 0.787
Mg3 0.500 0.787 0.545
Cd1 0.000 0.787 0.787
In1 0.500 0.120 0.453
In2 0.500 0.453 0.120


No. 12
Crystalline AcAuO3 at its relaxed geometry, computed with PBE.

Output
Total energy ... -5.86 eV per atom
Space group ... R-3c, No. 167
Total moment ... 0.00 μB/atom

Lattice parameters (Å, degrees): 6.529 6.529 6.529 55.75 55.75 55.75
Atoms (fractional coordinates):
Ac1 0.000 0.000 0.000
Ac2 0.500 0.500 0.500
Au1 0.250 0.250 0.250
Au2 0.750 0.750 0.750
O1 0.081 0.750 0.419
O2 0.250 0.581 0.919
O3 0.419 0.081 0.750
O4 0.581 0.919 0.250
O5 0.750 0.419 0.081
O6 0.919 0.250 0.581


Please write out number 5 again, unchanged.
Crystalline LiBiPd at its relaxed geometry, computed with PBE.

Output
Total energy ... -4.12 eV per atom
Space group ... F-43m, No. 216
Offset from the most stable computed form ... 0.0 kJ/mol of atoms

Lattice parameters (Å, degrees): 6.359 6.359 6.359 90.00 90.00 90.00
Atoms (fractional coordinates):
Li1 0.000 0.000 0.000
Li2 0.000 0.500 0.500
Li3 0.500 0.000 0.500
Li4 0.500 0.500 0.000
Bi1 0.000 0.000 0.500
Bi2 0.000 0.500 0.000
Bi3 0.500 0.000 0.000
Bi4 0.500 0.500 0.500
Pd1 0.250 0.250 0.750
Pd2 0.250 0.750 0.250
Pd3 0.750 0.250 0.250
Pd4 0.750 0.750 0.750


Question: What is the total energy in the seventh record?
Answer: -6.15 eV per atom


Question: Among the records above, which one has the lowest total energy?
Answer: DyErNb2Si2